1.
Ga4Ir2Rh | GGA-PBE | relaxed

Output
- SG: C2/m (12)
- Formation energy: -0.316 eV/atom
- Raw total energy: -5.6271 eV per atom
- Energy above the most stable polymorph in this dataset: 112.2 meV/atom
- Spin magnetization: 0.00 μB/f.u.

a b c (Å): 2.9642 6.3780 6.9645
angles (deg): 119.21 102.29 90.00
Closest atoms and distances in Å follow each position.
Element x y z (fractional)
Ga (0.3557, 0.6471, 0.7115)  3 Ir 2.56-2.62, 2 Rh 2.59
Ga (0.0827, 0.7213, 0.1655)  1 Rh 2.54, 3 Ir 2.55-2.67, 1 Ga 2.59
Ga (0.9173, 0.2787, 0.8345)  1 Rh 2.54, 3 Ir 2.55-2.67, 1 Ga 2.59
Ga (0.6443, 0.3529, 0.2885)  3 Ir 2.56-2.62, 2 Rh 2.59
Ir (0.2476, 0.1837, 0.4953)  6 Ga 2.55-2.67, 2 Ir 2.80
Ir (0.7524, 0.8163, 0.5047)  6 Ga 2.55-2.67, 2 Ir 2.80
Rh (0.0000, 0.0000, 0.0000)  6 Ga 2.54-2.59

2.
Ga6Ir2Rh | GGA-PBE | relaxed

Output
- SG: P2_1/c (14)
- Formation energy: -0.331 eV/atom
- Raw total energy: -5.1352 eV per atom
- Energy above the most stable polymorph in this dataset: 76.0 meV/atom
- Spin magnetization: 0.00 μB/f.u.

a b c (Å): 5.2373 6.9580 7.9642
angles (deg): 90.00 84.92 90.00
Closest atoms and distances in Å follow each position.
Element x y z (fractional)
Ga (0.8882, 0.9817, 0.2076)  1 Rh 2.45, 2 Ir 2.59-2.66
Ga (0.9045, 0.6828, 0.9416)  1 Rh 2.48, 2 Ir 2.63-2.66
Ga (0.6283, 0.1572, 0.9424)  1 Rh 2.51, 3 Ir 2.57-2.61, 1 Ga 2.69
Ga (0.3882, 0.5183, 0.7076)  1 Rh 2.45, 2 Ir 2.59-2.66
Ga (0.1118, 0.0183, 0.7924)  1 Rh 2.45, 2 Ir 2.59-2.66
Ga (0.0955, 0.3172, 0.0584)  1 Rh 2.48, 2 Ir 2.63-2.66
Ga (0.4045, 0.8172, 0.4416)  1 Rh 2.48, 2 Ir 2.63-2.66
Ga (0.6118, 0.4817, 0.2924)  1 Rh 2.45, 2 Ir 2.59-2.66
Ga (0.1283, 0.3428, 0.4424)  1 Rh 2.51, 3 Ir 2.57-2.61, 1 Ga 2.69
Ga (0.3717, 0.8428, 0.0576)  1 Rh 2.51, 3 Ir 2.57-2.61, 1 Ga 2.69
Ga (0.8717, 0.6572, 0.5576)  1 Rh 2.51, 3 Ir 2.57-2.61, 1 Ga 2.69
Ga (0.5955, 0.1828, 0.5584)  1 Rh 2.48, 2 Ir 2.63-2.66
Ir (0.4331, 0.1286, 0.2547)  8 Ga 2.57-2.79
Ir (0.0669, 0.6286, 0.2453)  8 Ga 2.57-2.79
Ir (0.9331, 0.3714, 0.7547)  8 Ga 2.57-2.79
Ir (0.5669, 0.8714, 0.7453)  8 Ga 2.57-2.79
Rh (0.5000, 0.5000, 0.0000)  6 Ga 2.45-2.51
Rh (0.0000, 0.0000, 0.5000)  6 Ga 2.45-2.51

3.
GaIrRh | GGA-PBE | relaxed

Output
- SG: P3m1 (156)
- Formation energy: -0.142 eV/atom
- Raw total energy: -6.5548 eV per atom
- Energy above the most stable polymorph in this dataset: 110.9 meV/atom
- Spin magnetization: 0.08 μB/f.u.

a b c (Å): 2.7857 4.2677 4.2677
angles (deg): 120.00 90.00 90.00
Closest atoms and distances in Å follow each position.
Element x y z (fractional)
Ga (0.3163, 0.6667, 0.3333)  3 Ir 2.55, 3 Rh 2.59, 2 Ga 2.79
Ir (0.0842, 0.0000, 0.0000)  3 Ga 2.55, 2 Ir 2.79, 6 Rh 2.81-2.85
Rh (0.5995, 0.3333, 0.6667)  3 Ga 2.59, 2 Rh 2.79, 6 Ir 2.81-2.85

4.
Ga2IrRh2 | GGA-PBE | relaxed

Output
- SG: Cmmm (65)
- Formation energy: -0.322 eV/atom
- Raw total energy: -6.2455 eV per atom
- Energy above the most stable polymorph in this dataset: 0.0 meV/atom
- Spin magnetization: 0.00 μB/f.u.

a b c (Å): 3.0484 2.9518 8.3302
angles (deg): 79.79 90.00 90.00
Closest atoms and distances in Å follow each position.
Element x y z (fractional)
Ga (0.5000, 0.5976, 0.8049)  4 Rh 2.54, 4 Ir 2.66
Ga (0.5000, 0.4024, 0.1951)  4 Rh 2.54, 4 Ir 2.66
Rh (0.0000, 0.8178, 0.3644)  4 Ga 2.54, 2 Rh 2.67
Rh (0.0000, 0.1822, 0.6356)  4 Ga 2.54, 2 Rh 2.67
Ir (0.0000, 0.0000, 0.0000)  8 Ga 2.66, 2 Ir 2.95

5.
Ga6Ir3Rh | GGA-PBE | relaxed

Output
- SG: P2_1/c (14)
- Formation energy: -0.287 eV/atom
- Raw total energy: -5.4964 eV per atom
- Spin magnetization: 0.00 μB/f.u.

a b c (Å): 6.3794 6.5794 7.8814
angles (deg): 90.00 91.36 90.00
Closest atoms and distances in Å follow each position.
Element x y z (fractional)
Ga (0.7261, 0.4455, 0.2550)  3 Ir 2.46-2.54, 1 Rh 2.46
Ga (0.1459, 0.3494, 0.0633)  1 Rh 2.53, 4 Ir 2.53-2.75
Ga (0.8521, 0.6570, 0.5699)  3 Ir 2.51-2.75, 1 Rh 2.52
Ga (0.3521, 0.8430, 0.0699)  3 Ir 2.51-2.75, 1 Rh 2.52
Ga (0.1479, 0.3430, 0.4301)  3 Ir 2.51-2.75, 1 Rh 2.52
Ga (0.3541, 0.8494, 0.4367)  1 Rh 2.53, 4 Ir 2.53-2.75
Ga (0.7739, 0.9455, 0.2450)  3 Ir 2.46-2.54, 1 Rh 2.46
Ga (0.6459, 0.1506, 0.5633)  1 Rh 2.53, 4 Ir 2.53-2.75
Ga (0.6479, 0.1570, 0.9301)  3 Ir 2.51-2.75, 1 Rh 2.52
Ga (0.2261, 0.0545, 0.7550)  3 Ir 2.46-2.54, 1 Rh 2.46
Ga (0.2739, 0.5545, 0.7450)  3 Ir 2.46-2.54, 1 Rh 2.46
Ga (0.8541, 0.6506, 0.9367)  1 Rh 2.53, 4 Ir 2.53-2.75
Ir (0.0000, 0.0000, 0.5000)  6 Ga 2.47-2.53
Ir (0.0415, 0.6596, 0.2511)  7 Ga 2.46-2.75
Ir (0.4585, 0.1596, 0.2489)  7 Ga 2.46-2.75
Ir (0.5415, 0.8404, 0.7511)  7 Ga 2.46-2.75
Ir (0.9585, 0.3404, 0.7489)  7 Ga 2.46-2.75
Ir (0.5000, 0.5000, 0.0000)  6 Ga 2.47-2.53
Rh (0.5000, 0.5000, 0.5000)  6 Ga 2.46-2.53
Rh (0.0000, 0.0000, 0.0000)  6 Ga 2.46-2.53

6.
Ga5IrRh2 | GGA-PBE | relaxed

Output
- SG: Cmcm (63)
- Formation energy: -0.230 eV/atom
- Raw total energy: -5.0674 eV per atom
- Spin magnetization: 0.00 μB/f.u.

a b c (Å): 4.6698 6.0338 11.5159
angles (deg): 90.00 90.00 112.77
Closest atoms and distances in Å follow each position.
Element x y z (fractional)
Ga (0.9389, 0.8778, 0.5933)  1 Ir 2.46, 2 Rh 2.47-2.63, 1 Ga 2.54
Ga (0.9389, 0.8778, 0.9067)  1 Ir 2.46, 2 Rh 2.47-2.63, 1 Ga 2.54
Ga (0.3228, 0.6457, 0.0531)  3 Rh 2.45-2.65, 1 Ir 2.59
Ga (0.6549, 0.3098, 0.2500)  2 Ir 2.42, 2 Rh 2.59
Ga (0.6772, 0.3543, 0.9469)  3 Rh 2.45-2.65, 1 Ir 2.59
Ga (0.0611, 0.1222, 0.0933)  1 Ir 2.46, 2 Rh 2.47-2.63, 1 Ga 2.54
Ga (0.0611, 0.1222, 0.4067)  1 Ir 2.46, 2 Rh 2.47-2.63, 1 Ga 2.54
Ga (0.3451, 0.6902, 0.7500)  2 Ir 2.42, 2 Rh 2.59
Ga (0.3228, 0.6457, 0.4469)  3 Rh 2.45-2.65, 1 Ir 2.59
Ga (0.6772, 0.3543, 0.5531)  3 Rh 2.45-2.65, 1 Ir 2.59
Rh (0.8406, 0.6812, 0.1144)  6 Ga 2.45-2.65
Rh (0.8406, 0.6812, 0.3856)  6 Ga 2.45-2.65
Rh (0.1594, 0.3188, 0.8856)  6 Ga 2.45-2.65
Rh (0.1594, 0.3188, 0.6144)  6 Ga 2.45-2.65
Ir (0.2109, 0.4218, 0.2500)  6 Ga 2.42-2.59
Ir (0.7891, 0.5782, 0.7500)  6 Ga 2.42-2.59

7.
GaIrRh2 | GGA-PBE | relaxed

Output
- SG: P4/mmm (123)
- Formation energy: -0.189 eV/atom
- Raw total energy: -6.8370 eV per atom
- Spin magnetization: 0.00 μB/f.u.

a b c (Å): 3.8528 3.8609 3.8609
angles (deg): 90.00 90.00 90.00
Closest atoms and distances in Å follow each position.
Element x y z (fractional)
Ir (0.5000, 0.0000, 0.0000)  8 Rh 2.73, 4 Ga 2.73
Ga (0.5000, 0.5000, 0.5000)  8 Rh 2.73, 4 Ir 2.73
Rh (0.0000, 0.0000, 0.5000)  4 Ga 2.73, 4 Ir 2.73, 4 Rh 2.73
Rh (0.0000, 0.5000, 0.0000)  4 Ir 2.73, 4 Ga 2.73, 4 Rh 2.73

8.
Ga5Ir2Rh2 | GGA-PBE | relaxed

Output
- SG: Ima2 (46)
- Formation energy: -0.334 eV/atom
- Raw total energy: -5.6188 eV per atom
- Spin magnetization: 0.00 μB/f.u.

a b c (Å): 5.7118 6.7992 8.5649
angles (deg): 113.39 109.48 90.00
Closest atoms and distances in Å follow each position.
Element x y z (fractional)
Ir (0.5415, 0.1273, 0.1839)  5 Ga 2.48-2.58, 1 Ir 2.75
Ir (0.4585, 0.9435, 0.8161)  5 Ga 2.48-2.58, 1 Ir 2.75
Ir (0.1424, 0.6273, 0.1839)  5 Ga 2.48-2.58, 1 Ir 2.75
Ir (0.8576, 0.4435, 0.8161)  5 Ga 2.48-2.58, 1 Ir 2.75
Ga (0.7307, 0.7076, 0.6762)  3 Rh 2.46-2.61, 2 Ir 2.48-2.51, 1 Ga 2.58
Ga (0.9293, 0.2835, 0.1556)  2 Ir 2.52-2.58, 3 Rh 2.53-2.79
Ga (0.0707, 0.1279, 0.8444)  2 Ir 2.52-2.58, 3 Rh 2.53-2.79
Ga (0.8957, 0.2784, 0.5000)  2 Ir 2.57, 2 Rh 2.58-2.60
Ga (0.2736, 0.6279, 0.8444)  2 Ir 2.52-2.58, 3 Rh 2.53-2.79
Ga (0.2693, 0.0315, 0.3238)  3 Rh 2.46-2.61, 2 Ir 2.48-2.51, 1 Ga 2.58
Ga (0.5545, 0.5315, 0.3238)  3 Rh 2.46-2.61, 2 Ir 2.48-2.51, 1 Ga 2.58
Ga (0.7264, 0.7835, 0.1556)  2 Ir 2.52-2.58, 3 Rh 2.53-2.79
Ga (0.4455, 0.2076, 0.6762)  3 Rh 2.46-2.61, 2 Ir 2.48-2.51, 1 Ga 2.58
Ga (0.1043, 0.7784, 0.5000)  2 Ir 2.57, 2 Rh 2.58-2.60
Rh (0.5000, 0.3969, 0.0000)  6 Ga 2.46-2.65
Rh (0.6920, 0.9394, 0.5000)  8 Ga 2.54-2.79
Rh (0.3080, 0.4394, 0.5000)  8 Ga 2.54-2.79
Rh (0.0000, 0.8969, 0.0000)  6 Ga 2.46-2.65

9.
Ga2IrRh | GGA-PBE | relaxed

Output
- SG: I-42d (122)
- Formation energy: -0.004 eV/atom
- Raw total energy: -5.5701 eV per atom
- Energy above the most stable polymorph in this dataset: 540.5 meV/atom
- Spin magnetization: 0.00 μB/f.u.

a b c (Å): 3.9746 3.9746 8.8344
angles (deg): 77.00 77.00 90.00
Closest atoms and distances in Å follow each position.
Element x y z (fractional)
Ga (0.1227, 0.6250, 0.2500)  2 Ir 2.52, 2 Rh 2.53, 2 Ga 2.80
Ga (0.3750, 0.3727, 0.7500)  2 Ir 2.52, 2 Rh 2.53, 2 Ga 2.80
Ga (0.6273, 0.1250, 0.2500)  2 Ir 2.52, 2 Rh 2.53, 2 Ga 2.80
Ga (0.8750, 0.8773, 0.7500)  2 Ir 2.52, 2 Rh 2.53, 2 Ga 2.80
Rh (0.5000, 0.5000, 0.0000)  4 Ga 2.53, 4 Ir 2.81
Rh (0.2500, 0.7500, 0.5000)  4 Ga 2.53, 4 Ir 2.81
Ir (0.7500, 0.2500, 0.5000)  4 Ga 2.52, 4 Rh 2.81
Ir (0.0000, 0.0000, 0.0000)  4 Ga 2.52, 4 Rh 2.81

10.
GaIrRh5 | GGA-PBE | relaxed

Output
- SG: C2/m (12)
- Formation energy: 0.036 eV/atom
- Raw total energy: -6.9131 eV per atom
- Spin magnetization: 0.00 μB/f.u.

a b c (Å): 5.1773 4.7746 4.7746
angles (deg): 68.68 82.66 97.34
Closest atoms and distances in Å follow each position.
Element x y z (fractional)
Ga (0.0000, 0.0000, 0.0000)  6 Rh 2.47-2.59
Ir (0.5000, 0.5000, 0.5000)  10 Rh 2.68-2.77
Rh (0.7617, 0.0662, 0.4474)  1 Ga 2.47, 6 Rh 2.64-2.76, 1 Ir 2.68
Rh (0.2383, 0.9338, 0.5526)  1 Ga 2.47, 6 Rh 2.64-2.76, 1 Ir 2.68
Rh (0.7617, 0.5526, 0.9338)  1 Ga 2.47, 6 Rh 2.64-2.76, 1 Ir 2.68
Rh (0.5000, 0.0000, 0.0000)  2 Ga 2.59, 2 Ir 2.69, 8 Rh 2.70-2.76
Rh (0.2383, 0.4474, 0.0662)  1 Ga 2.47, 6 Rh 2.64-2.76, 1 Ir 2.68

| no. | V (Å³/atom) |
| --- | --- |
| 1 | 15.92 |
| 2 | 16.06 |
| 3 | 14.65 |
| 4 | 14.75 |
| 5 | 16.54 |
| 6 | 18.70 |
| 7 | 14.36 |
| 8 | 15.80 |
| 9 | 16.54 |
| 10 | 15.30 |